Entry 1:
Cd2CuRe: optimized geometry, PBEsol.

Its formation energy is 455 meV/atom. For the theoretical density, the calculation gives 12.26 g/cm³.

The structure belongs to space group Cmmm (No. 65); the cell edges are 5.654, 8.293 and 2.741 Å and the angles 90.00°, 90.00° and 90.00°. The inequivalent atoms are Cd at (0.250, 0.250, 0.000), Cu at (0.000, 0.000, 0.500) and Re at (0.000, 0.500, 0.500).

---

Entry 2:
CeH3: optimized geometry, PBEsol.

As for the final energy: -4.6078 eV per atom. For the theoretical density, the calculation gives 6.27 g/cm³.

The structure belongs to space group Fm-3m (No. 225); the cell edges are 5.333, 5.333 and 5.333 Å and the angles 90.00°, 90.00° and 90.00°. The inequivalent atoms are Ce at (0.000, 0.000, 0.000), H at (0.000, 0.000, 0.500) and H at (0.250, 0.250, 0.250).

---

Entry 3:
TlCdS2: optimized geometry, PBEsol.

As for the final energy: -3.4519 eV per atom. For the theoretical density, the calculation gives 5.66 g/cm³.

The structure belongs to space group I-42d (No. 122); the cell edges are 6.060, 6.060 and 12.165 Å and the angles 90.00°, 90.00° and 90.00°. The inequivalent atoms are Tl at (0.000, 0.000, 0.000), Cd at (0.000, 0.000, 0.500) and S at (0.224, 0.250, 0.625).

---

Entry 4:
Hf3BiCl: optimized geometry, PBEsol.

As for the final energy: -7.4329 eV per atom. For the theoretical density, the calculation gives 12.17 g/cm³.

The structure belongs to space group Pm-3m (No. 221); the cell edges are 4.739, 4.739 and 4.739 Å and the angles 90.00°, 90.00° and 90.00°. The inequivalent atoms are Hf at (0.000, 0.000, 0.500), Bi at (0.500, 0.500, 0.500) and Cl at (0.000, 0.000, 0.000).

---

Entry 5:
LiZrAg3: optimized geometry, PBEsol.

Its formation energy is 1003 meV/atom. For the theoretical density, the calculation gives 4.94 g/cm³.

The structure belongs to space group Pm-3m (No. 221); the cell edges are 5.215, 5.215 and 5.215 Å and the angles 90.00°, 90.00° and 90.00°. The inequivalent atoms are Li at (0.000, 0.000, 0.000), Zr at (0.500, 0.500, 0.500) and Ag at (0.000, 0.500, 0.500).

---

Entry 6:
TcNiIr2: optimized geometry, PBEsol.

Its formation energy is -77 meV/atom. For the theoretical density, the calculation gives 16.96 g/cm³.

The structure belongs to space group R-3m (No. 166, hexagonal axes); the cell edges are 2.6773, 2.6773 and 25.6114 Å and the angles 90.00°, 90.00° and 120.00°. The inequivalent atoms are Tc at (0.0000, 0.0000, 0.0000), Ni at (0.0000, 0.0000, 0.5000) and Ir at (0.0000, 0.0000, 0.2485).

---

Entry 7:
Cd2NiMo: optimized geometry, PBEsol.

Its formation energy is 577 meV/atom. For the theoretical density, the calculation gives 9.72 g/cm³.

The structure belongs to space group Fm-3m (No. 225); the cell edges are 6.377, 6.377 and 6.377 Å and the angles 90.00°, 90.00° and 90.00°. The inequivalent atoms are Cd at (0.250, 0.250, 0.250), Ni at (0.000, 0.000, 0.000) and Mo at (0.000, 0.000, 0.500).

---

Entry 8:
BeAlOs2: optimized geometry, PBEsol.

Its formation energy is 44 meV/atom. For the theoretical density, the calculation gives 13.41 g/cm³.

The structure belongs to space group Pmmm (No. 47); the cell edges are 2.887, 3.949 and 4.524 Å and the angles 90.00°, 90.00° and 90.00°. The inequivalent atoms are Be at (0.000, 0.000, 0.000), Al at (0.500, 0.000, 0.500), Os at (0.000, 0.500, 0.500) and Os at (0.500, 0.500, 0.000).

---

Entry 9:
K2TaMo: optimized geometry, PBEsol.

Its formation energy is 1518 meV/atom. For the theoretical density, the calculation gives 6.39 g/cm³.

The structure belongs to space group P4/mmm (No. 123); the cell edges are 3.823, 3.823 and 6.310 Å and the angles 90.00°, 90.00° and 90.00°. The inequivalent atoms are K at (0.000, 0.500, 0.000), Ta at (0.000, 0.000, 0.500) and Mo at (0.500, 0.500, 0.500).

---

Entry 10:
LaCdFe2: optimized geometry, PBEsol.

Its formation energy is 458 meV/atom. For the theoretical density, the calculation gives 8.24 g/cm³.

The structure belongs to space group R3m (No. 160, hexagonal axes); the cell edges are 3.0186, 3.0186 and 27.8024 Å and the angles 90.00°, 90.00° and 120.00°. The inequivalent atoms are La at (0.0000, 0.0000, 0.0000), Cd at (0.0000, 0.0000, 0.7741), Fe at (0.0000, 0.0000, 0.2435) and Fe at (0.0000, 0.0000, 0.5196).

---

Entry 11:
Sr2MgBe: optimized geometry, PBEsol.

Its formation energy is 554 meV/atom. For the theoretical density, the calculation gives 2.59 g/cm³.

The structure belongs to space group I-42d (No. 122); the cell edges are 8.883, 8.883 and 6.775 Å and the angles 90.00°, 90.00° and 90.00°. The inequivalent atoms are Sr at (0.197, 0.250, 0.125), Mg at (0.000, 0.000, 0.500) and Be at (0.000, 0.000, 0.000).

---

Entry 12:
RbSb2F7: optimized geometry, PBEsol.

As for the final energy: -4.8771 eV per atom. For the theoretical density, the calculation gives 4.42 g/cm³.

The structure belongs to space group P2_1/c (No. 14); the cell edges are 12.612, 6.505 and 8.620 Å and the angles 90.00°, 100.79° and 90.00°. The inequivalent atoms are Rb at (0.109, 0.236, 0.419), Sb at (0.218, 0.743, 0.708), Sb at (0.417, 0.207, 0.834), F at (0.095, 0.556, 0.634), F at (0.105, 0.538, 0.178), F at (0.174, 0.696, 0.917), F at (0.286, 0.092, 0.277), F at (0.302, 0.020, 0.894), F at (0.357, 0.105, 0.620) and F at (0.495, 0.080, 0.168).

---

Entry 13:
AlFeCl2: optimized geometry, PBEsol.

As for the final energy: -4.3157 eV per atom. For the theoretical density, the calculation gives 3.46 g/cm³.

The structure belongs to space group R-3m (No. 166, hexagonal axes); the cell edges are 3.2447, 3.2447 and 24.2863 Å and the angles 90.00°, 90.00° and 120.00°. The inequivalent atoms are Al at (0.0000, 0.0000, 0.0000), Fe at (0.0000, 0.0000, 0.5000) and Cl at (0.0000, 0.0000, 0.1154).

---

Entry 14:
ZnGaMo3: optimized geometry, PBEsol.

Its formation energy is 1641 meV/atom. For the theoretical density, the calculation gives 7.75 g/cm³.

The structure belongs to space group Pm-3m (No. 221); the cell edges are 4.492, 4.492 and 4.492 Å and the angles 90.00°, 90.00° and 90.00°. The inequivalent atoms are Zn at (0.000, 0.000, 0.000), Ga at (0.500, 0.500, 0.500) and Mo at (0.000, 0.000, 0.500).

---

Entry 15:
OsRh2: optimized geometry, PBEsol.

Its formation energy is 27 meV/atom. For the theoretical density, the calculation gives 16.10 g/cm³.

The structure belongs to space group Pnma (No. 62); the cell edges are 5.360, 3.776 and 8.072 Å and the angles 90.00°, 90.00° and 90.00°. The inequivalent atoms are Os at (0.119, 0.250, 0.077), Rh at (0.125, 0.250, 0.416) and Rh at (0.126, 0.250, 0.754).

---

Entry 16:
ZrRuAu2: optimized geometry, PBEsol.

Its formation energy is -317 meV/atom. For the theoretical density, the calculation gives 14.34 g/cm³.

The structure belongs to space group P4mm (No. 99); the cell edges are 3.415, 3.415 and 5.822 Å and the angles 90.00°, 90.00° and 90.00°. The inequivalent atoms are Zr at (0.000, 0.000, 0.000), Ru at (0.500, 0.500, 0.776), Au at (0.000, 0.000, 0.516) and Au at (0.500, 0.500, 0.276).

---

Entry 17:
Na2FeO4: optimized geometry, PBEsol.

As for the final energy: -6.0188 eV per atom. For the theoretical density, the calculation gives 2.92 g/cm³.

The structure belongs to space group Cmcm (No. 63); the cell edges are 5.761, 9.175 and 7.144 Å and the angles 90.00°, 90.00° and 90.00°. The inequivalent atoms are Na at (0.000, 0.000, 0.000), Na at (0.000, 0.316, 0.250), Fe at (0.000, 0.353, 0.750), O at (0.000, 0.250, 0.564) and O at (0.233, 0.459, 0.750).

---

Entry 18:
Na2MnO2: optimized geometry, PBEsol.

As for the final energy: -5.8616 eV per atom. For the theoretical density, the calculation gives 3.32 g/cm³.

The structure belongs to space group C2/c (No. 15); the cell edges are 12.482, 11.913 and 6.125 Å and the angles 90.00°, 118.87° and 90.00°. The inequivalent atoms are Na at (0.000, 0.060, 0.250), Na at (0.000, 0.201, 0.750), Na at (0.104, 0.430, 0.732), Na at (0.201, 0.198, 0.266), Mn at (0.000, 0.320, 0.250), Mn at (0.212, 0.082, 0.742), O at (0.102, 0.379, 0.100), O at (0.112, 0.214, 0.530) and O at (0.169, 0.053, 0.014).

---

Entry 19:
TaWS2N: optimized geometry, PBEsol.

As for the final energy: -8.2114 eV per atom. For the theoretical density, the calculation gives 8.88 g/cm³.

The structure belongs to space group P4/mmm (No. 123); the cell edges are 4.719, 4.719 and 3.720 Å and the angles 90.00°, 90.00° and 90.00°. The inequivalent atoms are Ta at (0.000, 0.000, 0.000), W at (0.500, 0.500, 0.500), S at (0.000, 0.500, 0.500) and N at (0.500, 0.500, 0.000).

---

Entry 20:
YFeRe: optimized geometry, PBEsol.

Its formation energy is 615 meV/atom. For the theoretical density, the calculation gives 10.14 g/cm³.

The structure belongs to space group F-43m (No. 216); the cell edges are 6.007, 6.007 and 6.007 Å and the angles 90.00°, 90.00° and 90.00°. The inequivalent atoms are Y at (0.000, 0.000, 0.000), Fe at (0.250, 0.250, 0.750) and Re at (0.000, 0.000, 0.500).

---

In Bohr magnetons per cell, the M_tot values for the records above are, in order, 0.0; 4.1; 0.0; 0.0; 0.4; 0.0; 8.3; 0.0; 0.0; 15.7; 0.0; 0.0; 1.0; 0.0; 0.0; 0.0; 8.0; 59.9; 1.9; 0.0.